The following is a DFT calculation (GGA-PBE) of a geometry-optimized ZrB4W2 structure.

```
ZrB4W2
1.0
-1.668 2.235 -1.453
-0.708 -2.124 -2.455
-4.531 -2.101 5.373
B W Zr
4 2 1
Direct
0.362 0.362 0.724 B
0.069 0.569 0.138 B
0.638 0.638 0.276 B
0.931 0.431 0.862 B
0.812 0.812 0.624 W
0.188 0.188 0.376 W
0.500 0.000 0.000 Zr
```

Computed properties:
**Mass density**: 11.45 g cm⁻³
**ΔE_f**: -0.59 eV/atom
**Energy**: -9.327 eV/atom

The following is a DFT calculation (GGA-PBE) of a geometry-optimized Zr9BW4 structure.

```
Zr9BW4
1.0
-5.993 0.663 6.224
0.908 -7.430 -4.367
5.763 -2.728 5.839
Zr W B
18 8 2
Direct
0.203 0.797 0.443 Zr
0.539 0.461 0.250 Zr
0.797 0.595 0.557 Zr
0.539 0.079 0.250 Zr
0.595 0.797 0.057 Zr
0.797 0.203 0.557 Zr
0.921 0.461 0.250 Zr
0.461 0.921 0.750 Zr
0.595 0.797 0.443 Zr
0.079 0.539 0.750 Zr
0.797 0.595 0.943 Zr
0.203 0.405 0.443 Zr
0.797 0.203 0.943 Zr
0.203 0.797 0.057 Zr
0.461 0.539 0.750 Zr
0.405 0.203 0.943 Zr
0.203 0.405 0.057 Zr
0.405 0.203 0.557 Zr
0.890 0.110 0.250 W
0.780 0.890 0.750 W
0.000 0.000 0.000 W
0.000 0.000 0.500 W
0.890 0.780 0.250 W
0.110 0.890 0.750 W
0.220 0.110 0.250 W
0.110 0.220 0.750 W
0.667 0.333 0.750 B
0.333 0.667 0.250 B
```

Computed properties:
**Mass density**: 9.26 g cm⁻³
**ΔE_f**: -0.11 eV/atom
**Energy**: -9.783 eV/atom

The following is a DFT calculation (GGA-PBE) of a geometry-optimized Zr3B7W structure.

```
Zr3B7W
1.0
3.333 0.000 0.000
-1.667 7.614 0.000
0.000 0.000 9.246
B Zr W
14 6 2
Direct
0.637 0.274 0.650 B
0.637 0.274 0.850 B
0.560 0.119 0.250 B
0.516 0.032 0.589 B
0.272 0.544 0.032 B
0.516 0.032 0.911 B
0.363 0.726 0.150 B
0.484 0.968 0.089 B
0.728 0.456 0.532 B
0.272 0.544 0.468 B
0.440 0.881 0.750 B
0.363 0.726 0.350 B
0.484 0.968 0.411 B
0.728 0.456 0.968 B
0.892 0.783 0.555 Zr
0.752 0.504 0.250 Zr
0.108 0.217 0.445 Zr
0.108 0.217 0.055 Zr
0.892 0.783 0.945 Zr
0.248 0.496 0.750 Zr
0.048 0.097 0.750 W
0.952 0.903 0.250 W
```

Computed properties:
**Mass density**: 7.55 g cm⁻³
**ΔE_f**: -0.78 eV/atom
**Energy**: -8.540 eV/atom

The following is a DFT calculation (GGA-PBE) of a geometry-optimized ZrB2W structure.

```
ZrB2W
1.0
5.016 0.000 0.000
0.000 5.016 0.000
2.508 2.508 5.175
B Zr W
4 2 2
Direct
0.083 0.625 0.250 B
0.875 0.917 0.750 B
0.375 0.333 0.750 B
0.667 0.125 0.250 B
0.500 0.500 0.000 Zr
0.250 0.750 0.500 Zr
0.750 0.250 0.500 W
0.000 0.000 0.000 W
```

Computed properties:
**Mass density**: 7.57 g cm⁻³
**ΔE_f**: 0.53 eV/atom
**Offset from the most stable computed form**: 980.2 meV per atom
**Energy**: -8.181 eV/atom